No. 1
4
Lattice="-3.393 -2.896 0.761 0.724 -4.458 -0.281 -0.013 -2.535 3.749" Properties=species:S:1:pos:R:3 comment="TcAsSe2 | the Alexandria database | GGA-PBEsol | relaxed" dft_energy_ev_per_atom=-5.5241 spacegroup=F-43m raw_formation_energy_mev_per_atom=494 magmom_total_mub_per_fu=0.00 pbc="T T T"
Se -2.011 -7.417 3.172
Se 0.000 0.000 0.000
As -1.341 -4.944 2.115
Tc -0.670 -2.472 1.057


No. 2
4
Lattice="3.171 0.000 0.000 0.000 4.406 0.000 0.000 0.000 4.760" Properties=species:S:1:pos:R:3 comment="TcAsSe2 | the Alexandria database | GGA-PBEsol | relaxed" dft_energy_ev_per_atom=-5.4640 spacegroup=Pmmm raw_formation_energy_mev_per_atom=554 magmom_total_mub_per_fu=0.00 pbc="T T T"
Se 1.585 0.000 2.380
Se 0.000 0.000 0.000
As 0.000 2.203 2.380
Tc 1.585 2.203 0.000


No. 3
5
Lattice="4.739 0.000 0.000 0.000 4.800 0.000 0.000 0.000 4.800" Properties=species:S:1:pos:R:3 comment="TiTcAs2Se | the Alexandria database | GGA-PBEsol | relaxed" dft_energy_ev_per_atom=-5.9848 spacegroup=P4/mmm raw_formation_energy_mev_per_atom=746 magmom_total_mub_per_fu=3.47 pbc="T T T"
As 0.000 0.000 2.400
As 0.000 2.400 0.000
Se 2.369 0.000 0.000
Tc 2.369 2.400 2.400
Ti 0.000 0.000 0.000


No. 4
5
Lattice="-1.059 4.037 1.970 -2.609 1.095 -3.646 -3.932 -2.097 2.185" Properties=species:S:1:pos:R:3 comment="TcAs2WSe | the Alexandria database | GGA-PBEsol | relaxed" dft_energy_ev_per_atom=-6.4715 spacegroup=P4/mmm raw_formation_energy_mev_per_atom=1356 magmom_total_mub_per_fu=3.13 pbc="T T T"
As -1.305 0.547 -1.823
As -0.529 2.019 0.985
Se -1.966 -1.049 1.092
Tc 0.000 0.000 0.000
W -3.800 1.517 0.254


No. 5
5
Lattice="-4.376 -1.450 2.480 1.075 -5.059 -1.061 2.691 -0.378 4.527" Properties=species:S:1:pos:R:3 comment="YTcAs2Se | the Alexandria database | GGA-PBEsol | relaxed" dft_energy_ev_per_atom=-5.3701 spacegroup=P4/mmm raw_formation_energy_mev_per_atom=1060 magmom_total_mub_per_fu=3.78 pbc="T T T"
As 0.538 -2.529 -0.531
As 1.345 -0.189 2.263
Y 0.000 0.000 0.000
Se -2.188 -0.725 1.240
Tc -0.305 -3.443 2.973


No. 6
5
Lattice="-4.769 -0.041 2.241 -1.893 -2.747 -4.079 1.214 -4.549 2.500" Properties=species:S:1:pos:R:3 comment="YTcAsSe2 | the Alexandria database | GGA-PBEsol | relaxed" dft_energy_ev_per_atom=-5.3918 spacegroup=P4/mmm raw_formation_energy_mev_per_atom=787 magmom_total_mub_per_fu=3.91 pbc="T T T"
Se -0.947 -1.374 -2.040
Se -2.385 -0.021 1.121
Y 0.000 0.000 0.000
Tc -2.724 -3.669 0.331
As 0.607 -2.274 1.250


No. 7
4
Lattice="3.981 0.000 0.000 1.991 3.448 0.000 1.991 1.149 6.636" Properties=species:S:1:pos:R:3 comment="TeAs2Se | the Alexandria database | GGA-PBEsol | relaxed" dft_energy_ev_per_atom=-4.3381 spacegroup=R3m raw_formation_energy_mev_per_atom=59 magmom_total_mub_per_fu=0.00 pbc="T T T"
Te 1.991 1.149 1.587
Se 3.981 2.299 3.484
As 5.972 3.448 5.046
As 1.991 1.149 6.474


No. 8
3
Lattice="3.201 -0.001 0.000 -1.140 2.992 0.000 -1.031 -1.495 7.272" Properties=species:S:1:pos:R:3 comment="TeAsSe | the Alexandria database | GGA-PBEsol | relaxed" dft_energy_ev_per_atom=-3.9053 spacegroup=Fmm2 raw_formation_energy_mev_per_atom=256 magmom_total_mub_per_fu=0.00 pbc="T T T"
Te 0.000 0.000 5.013
As 0.000 0.000 0.237
Se 1.031 1.495 2.022


Please write out number 5 again, unchanged.
5
Lattice="-4.376 -1.450 2.480 1.075 -5.059 -1.061 2.691 -0.378 4.527" Properties=species:S:1:pos:R:3 comment="YTcAs2Se | the Alexandria database | GGA-PBEsol | relaxed" dft_energy_ev_per_atom=-5.3701 spacegroup=P4/mmm raw_formation_energy_mev_per_atom=1060 magmom_total_mub_per_fu=3.78 pbc="T T T"
As 0.538 -2.529 -0.531
As 1.345 -0.189 2.263
Y 0.000 0.000 0.000
Se -2.188 -0.725 1.240
Tc -0.305 -3.443 2.973


Please write out number 4 again, unchanged.
5
Lattice="-1.059 4.037 1.970 -2.609 1.095 -3.646 -3.932 -2.097 2.185" Properties=species:S:1:pos:R:3 comment="TcAs2WSe | the Alexandria database | GGA-PBEsol | relaxed" dft_energy_ev_per_atom=-6.4715 spacegroup=P4/mmm raw_formation_energy_mev_per_atom=1356 magmom_total_mub_per_fu=3.13 pbc="T T T"
As -1.305 0.547 -1.823
As -0.529 2.019 0.985
Se -1.966 -1.049 1.092
Tc 0.000 0.000 0.000
W -3.800 1.517 0.254